Entry a
# Ba2InPb2

Ba2InPb2 at its PBEsol-relaxed geometry (meta-GGA SCAN, Alexandria).

Cell: 7.753 7.753 7.753 Å, 136.65 136.65 62.97°
Fractional positions:
Ba 0.250 0.750 0.500
Ba 0.750 0.250 0.500
In 0.000 0.000 0.000
Pb 0.396 0.396 0.000
Pb 0.604 0.604 0.000

Computed properties:
- calculated density (Mg/m³) = 6.16

Entry b
# Ba2InPb2

Ba2InPb2 at its PBEsol-relaxed geometry (meta-GGA SCAN, Alexandria).

Cell: 8.172 8.172 5.372 Å, 90.00 90.00 90.00°
Fractional positions:
Ba 0.169 0.331 0.000
Ba 0.331 0.831 0.000
Ba 0.669 0.169 0.000
Ba 0.831 0.669 0.000
In 0.000 0.000 0.500
In 0.500 0.500 0.500
Pb 0.135 0.635 0.500
Pb 0.365 0.135 0.500
Pb 0.635 0.865 0.500
Pb 0.865 0.365 0.500

Computed properties:
- calculated density (Mg/m³) = 7.44

Most stable of them? entry b.

Entry a
# BaIn2Re

BaIn2Re at its PBEsol-relaxed geometry (meta-GGA SCAN, Alexandria).

Cell: 5.345 5.345 5.345 Å, 127.31 127.31 77.74°
Fractional positions:
Ba 0.000 0.000 0.000
In 0.250 0.750 0.500
In 0.750 0.250 0.500
Re 0.500 0.500 0.000

Computed properties:
- calculated density (Mg/m³) = 9.81

Entry b
# BaIn2Re

BaIn2Re at its PBEsol-relaxed geometry (meta-GGA SCAN, Alexandria).

Cell: 4.874 4.874 8.154 Å, 118.57 118.57 36.11°
Fractional positions:
Ba 0.000 0.000 0.000
In 0.125 0.125 0.675
In 0.404 0.404 0.310
Re 0.760 0.760 0.484

Computed properties:
- calculated density (Mg/m³) = 9.31

Most stable of them? entry b.

Entry a
# Ba2InSe

Ba2InSe at its PBEsol-relaxed geometry (meta-GGA SCAN, Alexandria).

Cell: 5.769 5.769 5.769 Å, 60.00 60.00 60.00°
Fractional positions:
Ba 0.250 0.250 0.250
Ba 0.750 0.750 0.750
In 0.000 0.000 0.000
Se 0.500 0.500 0.500

Computed properties:
- calculated density (Mg/m³) = 5.73

Entry b
# Ba2InSe

Ba2InSe at its PBEsol-relaxed geometry (meta-GGA SCAN, Alexandria).

Cell: 5.814 5.814 3.956 Å, 90.00 90.00 90.00°
Fractional positions:
Ba 0.000 0.500 0.000
Ba 0.500 0.000 0.000
In 0.000 0.000 0.500
Se 0.500 0.500 0.500

Computed properties:
- calculated density (Mg/m³) = 5.82

Most stable of them? entry b.

Entry a
# Ba2SrIn2

Ba2SrIn2 at its PBEsol-relaxed geometry (meta-GGA SCAN, Alexandria).

Cell: 9.589 9.589 4.355 Å, 90.00 90.00 90.00°
Fractional positions:
Ba 0.169 0.331 0.000
Ba 0.331 0.831 0.000
Ba 0.669 0.169 0.000
Ba 0.831 0.669 0.000
Sr 0.000 0.000 0.500
Sr 0.500 0.500 0.500
In 0.124 0.624 0.500
In 0.376 0.124 0.500
In 0.624 0.876 0.500
In 0.876 0.376 0.500

Computed properties:
- calculated density (Mg/m³) = 4.91

Entry b
# Ba2SrIn2

Ba2SrIn2 at its PBEsol-relaxed geometry (meta-GGA SCAN, Alexandria).

Cell: 8.402 8.402 8.402 Å, 144.14 144.14 51.62°
Fractional positions:
Ba 0.250 0.750 0.500
Ba 0.750 0.250 0.500
Sr 0.000 0.000 0.000
In 0.409 0.409 0.000
In 0.591 0.591 0.000

Computed properties:
- calculated density (Mg/m³) = 4.86

Most stable of them? entry a.

Entry a
# BaInTc

BaInTc at its PBEsol-relaxed geometry (meta-GGA SCAN, Alexandria).

Cell: 4.812 4.812 4.812 Å, 60.00 60.00 60.00°
Fractional positions:
Ba 0.000 0.000 0.000
In 0.500 0.500 0.500
Tc 0.250 0.250 0.250

Computed properties:
- calculated density (Mg/m³) = 7.38

Entry b
# BaInTc

BaInTc at its PBEsol-relaxed geometry (meta-GGA SCAN, Alexandria).

Cell: 4.631 4.631 4.701 Å, 90.00 90.00 120.00°
Fractional positions:
Ba 0.000 0.000 0.000
In 0.333 0.667 0.500
Tc 0.667 0.333 0.500

Computed properties:
- calculated density (Mg/m³) = 6.66

Entry c
# BaInTc

BaInTc at its PBEsol-relaxed geometry (meta-GGA SCAN, Alexandria).

Cell: 3.463 3.463 7.265 Å, 90.00 90.00 120.00°
Fractional positions:
Ba 0.000 0.000 0.000
In 0.333 0.667 0.580
Tc 0.667 0.333 0.325

Computed properties:
- calculated density (Mg/m³) = 7.71

Most stable of them? entry b.

Entry a
# Ba2InTc

Ba2InTc at its PBEsol-relaxed geometry (meta-GGA SCAN, Alexandria).

Cell: 3.652 3.652 10.728 Å, 99.18 99.18 59.06°
Fractional positions:
Ba 0.239 0.239 0.212
Ba 0.761 0.761 0.788
In 0.000 0.000 0.500
Tc 0.500 0.500 0.000

Computed properties:
- calculated density (Mg/m³) = 6.71

Entry b
# Ba2InTc

Ba2InTc at its PBEsol-relaxed geometry (meta-GGA SCAN, Alexandria).

Cell: 3.493 3.493 9.824 Å, 90.00 90.00 90.00°
Fractional positions:
Ba 0.000 0.000 0.218
Ba 0.000 0.000 0.782
In 0.500 0.500 0.500
Tc 0.500 0.500 0.000

Computed properties:
- calculated density (Mg/m³) = 6.75

Most stable of them? entry b.

Entry a
# BaTlIn2

BaTlIn2 at its PBEsol-relaxed geometry (meta-GGA SCAN, Alexandria).

Cell: 6.672 6.672 6.672 Å, 43.29 43.29 43.29°
Fractional positions:
Ba 0.000 0.000 0.000
Tl 0.774 0.774 0.774
In 0.223 0.223 0.223
In 0.510 0.510 0.510

Computed properties:
- calculated density (Mg/m³) = 7.49

Entry b
# BaTlIn2

BaTlIn2 at its PBEsol-relaxed geometry (meta-GGA SCAN, Alexandria).

Cell: 4.966 4.966 6.660 Å, 111.93 111.93 60.22°
Fractional positions:
Ba 0.000 0.000 0.000
Tl 0.500 0.500 0.500
In 0.223 0.223 0.669
In 0.777 0.777 0.331

Computed properties:
- calculated density (Mg/m³) = 7.38

Most stable of them? entry a.

Entry a
# Ba2LaIr

Ba2LaIr at its PBEsol-relaxed geometry (meta-GGA SCAN, Alexandria).

Cell: 4.294 4.294 10.773 Å, 101.33 101.33 59.96°
Fractional positions:
Ba 0.000 0.000 0.000
Ba 0.209 0.209 0.635
La 0.777 0.777 0.334
Ir 0.484 0.484 0.456

Computed properties:
- calculated density (Mg/m³) = 6.01

Entry b
# Ba2LaIr

Ba2LaIr at its PBEsol-relaxed geometry (meta-GGA SCAN, Alexandria).

Cell: 7.741 7.741 4.425 Å, 90.00 90.00 138.49°
Fractional positions:
Ba 0.147 0.853 0.000
Ba 0.853 0.147 0.000
La 0.500 0.500 0.500
Ir 0.000 0.000 0.500

Computed properties:
- calculated density (Mg/m³) = 5.72

Entry c
# Ba2LaIr

Ba2LaIr at its PBEsol-relaxed geometry (meta-GGA SCAN, Alexandria).

Cell: 5.453 5.453 5.453 Å, 60.00 60.00 60.00°
Fractional positions:
Ba 0.250 0.250 0.250
Ba 0.750 0.750 0.750
La 0.000 0.000 0.000
Ir 0.500 0.500 0.500

Computed properties:
- calculated density (Mg/m³) = 8.77

Most stable of them? entry a.

Entry a
# Ba2MnIr

Ba2MnIr at its PBEsol-relaxed geometry (meta-GGA SCAN, Alexandria).

Cell: 5.368 5.368 5.368 Å, 119.95 119.95 90.08°
Fractional positions:
Ba 0.250 0.750 0.500
Ba 0.750 0.250 0.500
Mn 0.000 0.000 0.000
Ir 0.500 0.500 0.000

Computed properties:
- calculated density (Mg/m³) = 7.92

Entry b
# Ba2MnIr

Ba2MnIr at its PBEsol-relaxed geometry (meta-GGA SCAN, Alexandria).

Cell: 3.544 3.544 9.318 Å, 90.00 90.00 90.00°
Fractional positions:
Ba 0.000 0.000 0.000
Ba 0.500 0.500 0.423
Mn 0.500 0.500 0.744
Ir 0.000 0.000 0.678

Computed properties:
- calculated density (Mg/m³) = 7.40

Entry c
# Ba2MnIr

Ba2MnIr at its PBEsol-relaxed geometry (meta-GGA SCAN, Alexandria).

Cell: 8.888 8.888 8.888 Å, 28.28 28.28 28.28°
Fractional positions:
Ba 0.233 0.233 0.233
Ba 0.767 0.767 0.767
Mn 0.000 0.000 0.000
Ir 0.500 0.500 0.500

Computed properties:
- calculated density (Mg/m³) = 6.22

Most stable of them? entry b.

Entry a
# BaMo2Ir

BaMo2Ir at its PBEsol-relaxed geometry (meta-GGA SCAN, Alexandria).

Cell: 3.371 3.371 7.660 Å, 90.00 90.00 90.00°
Fractional positions:
Ba 0.000 0.000 0.000
Mo 0.500 0.500 0.349
Mo 0.500 0.500 0.651
Ir 0.000 0.000 0.500

Computed properties:
- calculated density (Mg/m³) = 9.95

Entry b
# BaMo2Ir

BaMo2Ir at its PBEsol-relaxed geometry (meta-GGA SCAN, Alexandria).

Cell: 3.069 3.349 7.921 Å, 90.00 90.00 90.00°
Fractional positions:
Ba 0.000 0.000 0.000
Mo 0.000 0.000 0.490
Mo 0.500 0.500 0.656
Ir 0.500 0.500 0.309

Computed properties:
- calculated density (Mg/m³) = 10.63

Most stable of them? entry b.

Entry a
# BaMo2Ir

BaMo2Ir at its PBEsol-relaxed geometry (meta-GGA SCAN, Alexandria).

Cell: 2.848 2.848 9.480 Å, 90.00 90.00 90.95°
Fractional positions:
Ba 0.000 0.000 0.000
Mo 0.500 0.500 0.305
Mo 0.500 0.500 0.695
Ir 0.000 0.000 0.500

Computed properties:
- calculated density (Mg/m³) = 11.26

Entry b
# BaMo2Ir

BaMo2Ir at its PBEsol-relaxed geometry (meta-GGA SCAN, Alexandria).

Cell: 5.744 5.744 5.744 Å, 149.29 124.81 64.50°
Fractional positions:
Ba 0.000 0.000 0.000
Mo 0.516 0.516 0.000
Mo 0.713 0.213 0.500
Ir 0.288 0.788 0.500

Computed properties:
- calculated density (Mg/m³) = 11.01

Most stable of them? entry a.

Entry a
# BaPIrS2

BaPIrS2 at its PBEsol-relaxed geometry (meta-GGA SCAN, Alexandria).

Cell: 5.389 5.389 5.562 Å, 90.00 90.00 90.00°
Fractional positions:
Ba 0.000 0.000 0.000
P 0.000 0.000 0.500
Ir 0.500 0.500 0.500
S 0.000 0.500 0.000
S 0.500 0.000 0.000

Computed properties:
- calculated density (Mg/m³) = 4.37

Entry b
# BaPIrS2

BaPIrS2 at its PBEsol-relaxed geometry (meta-GGA SCAN, Alexandria).

Cell: 5.034 5.034 4.351 Å, 90.00 90.00 90.00°
Fractional positions:
Ba 0.000 0.000 0.000
P 0.500 0.500 0.000
Ir 0.500 0.500 0.500
S 0.000 0.500 0.500
S 0.500 0.000 0.500

Computed properties:
- calculated density (Mg/m³) = 6.39

Most stable of them? entry b.

Entry a
# BaIr2Pt

BaIr2Pt at its PBEsol-relaxed geometry (meta-GGA SCAN, Alexandria).

Cell: 5.130 5.130 5.130 Å, 131.43 131.43 71.13°
Fractional positions:
Ba 0.000 0.000 0.000
Ir 0.250 0.750 0.500
Ir 0.750 0.250 0.500
Pt 0.500 0.500 0.000

Computed properties:
- calculated density (Mg/m³) = 16.02

Entry b
# BaIr2Pt

BaIr2Pt at its PBEsol-relaxed geometry (meta-GGA SCAN, Alexandria).

Cell: 2.889 4.637 6.031 Å, 90.00 101.36 90.00°
Fractional positions:
Ba 0.000 0.000 0.000
Ir 0.321 0.500 0.679
Ir 0.679 0.500 0.321
Pt 0.500 0.000 0.500

Computed properties:
- calculated density (Mg/m³) = 15.03

Most stable of them? entry b.